1.
ZnGe2BP: relaxed, PBE.

Computed properties:
Formation energy from the elements ... 0.8178 eV/atom
Calculated total energy ... -3.7014 eV/atom
Calculated volume ... 18.4 Å³/atom
Space-group type ... No. 123

Lattice parameters (Å, degrees): 5.057 5.057 3.603 90.00 90.00 90.00
Sites, in units of the cell vectors:
Zn (0.000, 0.000, 0.000)
Ge (0.000, 0.500, 0.500)
Ge (0.500, 0.000, 0.500)
B (0.500, 0.500, 0.000)
P (0.500, 0.500, 0.500)

2.
PaGeB: relaxed, PBE.

Computed properties:
Formation energy from the elements ... 0.3535 eV/atom
Relative energy among the computed polymorphs ... 0.524 eV/atom
Calculated total energy ... -6.5767 eV/atom
Calculated volume ... 16.4 Å³/atom
Space-group type ... No. 107

Lattice parameters (Å, degrees): 5.465 5.465 5.465 146.65 146.65 47.88
Sites, in units of the cell vectors:
Pa (0.000, 0.000, 0.000)
Ge (0.282, 0.282, 0.000)
B (0.686, 0.686, 0.000)

3.
Pa3GeB: relaxed, PBE.

Computed properties:
Formation energy from the elements ... -0.0900 eV/atom
Calculated total energy ... -8.0465 eV/atom
Calculated volume ... 22.1 Å³/atom
Space-group type ... No. 221

Lattice parameters (Å, degrees): 4.797 4.797 4.797 90.00 90.00 90.00
Sites, in units of the cell vectors:
Pa (0.000, 0.000, 0.500)
Pa (0.000, 0.500, 0.000)
Pa (0.500, 0.000, 0.000)
Ge (0.500, 0.500, 0.500)
B (0.000, 0.000, 0.000)

4.
Pa2GeB: relaxed, PBE.

Computed properties:
Formation energy from the elements ... -0.2022 eV/atom
Calculated total energy ... -7.7739 eV/atom
Calculated volume ... 21.4 Å³/atom
Space-group type ... No. 166

Lattice parameters (Å, degrees): 6.994 6.994 6.994 32.08 32.08 32.08
Sites, in units of the cell vectors:
Pa (0.238, 0.238, 0.238)
Pa (0.762, 0.762, 0.762)
Ge (0.000, 0.000, 0.000)
B (0.500, 0.500, 0.500)

5.
PaGeB: relaxed, PBE.

Computed properties:
Formation energy from the elements ... -0.1700 eV/atom
Relative energy among the computed polymorphs ... 0.000 eV/atom
Calculated total energy ... -7.1002 eV/atom
Calculated volume ... 18.3 Å³/atom
Space-group type ... No. 71

Lattice parameters (Å, degrees): 6.969 6.969 6.969 148.85 141.01 50.72
Sites, in units of the cell vectors:
Pa (0.142, 0.142, 0.000)
Pa (0.858, 0.858, 0.000)
Ge (0.376, 0.376, 0.000)
Ge (0.624, 0.624, 0.000)
B (0.175, 0.500, 0.675)
B (0.825, 0.500, 0.325)

6.
Pa3GeB2Rh9: relaxed, PBE.

Computed properties:
Formation energy from the elements ... -0.7102 eV/atom
Calculated total energy ... -8.2184 eV/atom
Calculated volume ... 16.5 Å³/atom
Space-group type ... No. 164

Lattice parameters (Å, degrees): 5.714 5.714 8.752 90.00 90.00 120.00
Sites, in units of the cell vectors:
Pa (0.000, 0.000, 0.000)
Pa (0.333, 0.667, 0.660)
Pa (0.667, 0.333, 0.340)
Ge (0.000, 0.000, 0.500)
B (0.333, 0.667, 0.148)
B (0.667, 0.333, 0.852)
Rh (0.000, 0.500, 0.000)
Rh (0.165, 0.330, 0.286)
Rh (0.165, 0.835, 0.286)
Rh (0.330, 0.165, 0.714)
Rh (0.500, 0.000, 0.000)
Rh (0.500, 0.500, 0.000)
Rh (0.670, 0.835, 0.286)
Rh (0.835, 0.165, 0.714)
Rh (0.835, 0.670, 0.714)

7.
Pa2GeB2Ru5: relaxed, PBE.

Computed properties:
Formation energy from the elements ... -0.6124 eV/atom
Calculated total energy ... -8.9468 eV/atom
Calculated volume ... 14.6 Å³/atom
Space-group type ... No. 127

Lattice parameters (Å, degrees): 9.477 9.477 3.252 90.00 90.00 90.00
Sites, in units of the cell vectors:
Pa (0.176, 0.324, 0.000)
Pa (0.324, 0.824, 0.000)
Pa (0.676, 0.176, 0.000)
Pa (0.824, 0.676, 0.000)
Ge (0.000, 0.000, 0.000)
Ge (0.500, 0.500, 0.000)
B (0.122, 0.622, 0.000)
B (0.378, 0.122, 0.000)
B (0.622, 0.878, 0.000)
B (0.878, 0.378, 0.000)
Ru (0.000, 0.500, 0.500)
Ru (0.072, 0.782, 0.500)
Ru (0.218, 0.072, 0.500)
Ru (0.282, 0.572, 0.500)
Ru (0.428, 0.282, 0.500)
Ru (0.500, 0.000, 0.500)
Ru (0.572, 0.718, 0.500)
Ru (0.718, 0.428, 0.500)
Ru (0.782, 0.928, 0.500)
Ru (0.928, 0.218, 0.500)

8.
Pa2GeBRu6: relaxed, PBE.

Computed properties:
Formation energy from the elements ... -0.1653 eV/atom
Calculated total energy ... -8.7595 eV/atom
Calculated volume ... 16.7 Å³/atom
Space-group type ... No. 123

Lattice parameters (Å, degrees): 4.396 4.396 8.645 90.00 90.00 90.00
Sites, in units of the cell vectors:
Pa (0.000, 0.000, 0.242)
Pa (0.000, 0.000, 0.758)
Ge (0.500, 0.500, 0.500)
B (0.500, 0.500, 0.000)
Ru (0.000, 0.500, 0.000)
Ru (0.000, 0.500, 0.500)
Ru (0.500, 0.000, 0.000)
Ru (0.500, 0.000, 0.500)
Ru (0.500, 0.500, 0.230)
Ru (0.500, 0.500, 0.770)

9.
PaGeBRu3: relaxed, PBE.

Computed properties:
Formation energy from the elements ... -0.3775 eV/atom
Calculated total energy ... -8.4806 eV/atom
Calculated volume ... 16.0 Å³/atom
Space-group type ... No. 63

Lattice parameters (Å, degrees): 6.494 6.494 5.800 90.00 90.00 128.28
Sites, in units of the cell vectors:
Pa (0.238, 0.762, 0.750)
Pa (0.762, 0.238, 0.250)
Ge (0.128, 0.872, 0.250)
Ge (0.872, 0.128, 0.750)
B (0.484, 0.516, 0.750)
B (0.516, 0.484, 0.250)
Ru (0.246, 0.246, 0.000)
Ru (0.246, 0.246, 0.500)
Ru (0.329, 0.671, 0.250)
Ru (0.671, 0.329, 0.750)
Ru (0.754, 0.754, 0.000)
Ru (0.754, 0.754, 0.500)

10.
Pa4GeB3Ru12: relaxed, PBE.

Computed properties:
Formation energy from the elements ... -0.4249 eV/atom
Calculated total energy ... -9.1220 eV/atom
Calculated volume ... 15.7 Å³/atom
Space-group type ... No. 229

Lattice parameters (Å, degrees): 7.415 7.415 7.415 109.47 109.47 109.47
Sites, in units of the cell vectors:
Pa (0.000, 0.000, 0.500)
Pa (0.000, 0.500, 0.000)
Pa (0.500, 0.000, 0.000)
Pa (0.500, 0.500, 0.500)
Ge (0.000, 0.000, 0.000)
B (0.000, 0.500, 0.500)
B (0.500, 0.000, 0.500)
B (0.500, 0.500, 0.000)
Ru (0.000, 0.268, 0.268)
Ru (0.000, 0.732, 0.732)
Ru (0.250, 0.500, 0.750)
Ru (0.250, 0.750, 0.500)
Ru (0.268, 0.000, 0.268)
Ru (0.268, 0.268, 0.000)
Ru (0.500, 0.250, 0.750)
Ru (0.500, 0.750, 0.250)
Ru (0.732, 0.000, 0.732)
Ru (0.732, 0.732, 0.000)
Ru (0.750, 0.250, 0.500)
Ru (0.750, 0.500, 0.250)

11.
GeB3Pb: relaxed, PBE.

Computed properties:
Formation energy from the elements ... 1.7231 eV/atom
Relative energy among the computed polymorphs ... 0.000 eV/atom
Calculated total energy ... -3.9485 eV/atom
Calculated volume ... 15.6 Å³/atom
Space-group type ... No. 221

Lattice parameters (Å, degrees): 4.277 4.277 4.277 90.00 90.00 90.00
Sites, in units of the cell vectors:
Ge (0.000, 0.000, 0.000)
B (0.000, 0.000, 0.500)
B (0.000, 0.500, 0.000)
B (0.500, 0.000, 0.000)
Pb (0.500, 0.500, 0.500)

12.
GeB3Pb: relaxed, PBE.

Computed properties:
Formation energy from the elements ... 2.5558 eV/atom
Relative energy among the computed polymorphs ... 0.833 eV/atom
Calculated total energy ... -3.1158 eV/atom
Calculated volume ... 20.0 Å³/atom
Space-group type ... No. 221

Lattice parameters (Å, degrees): 4.639 4.639 4.639 90.00 90.00 90.00
Sites, in units of the cell vectors:
Ge (0.000, 0.000, 0.000)
B (0.000, 0.500, 0.500)
B (0.500, 0.000, 0.500)
B (0.500, 0.500, 0.000)
Pb (0.500, 0.500, 0.500)

13.
Ge2BPdPb: relaxed, PBE.

Computed properties:
Formation energy from the elements ... 0.6224 eV/atom
Calculated total energy ... -4.3402 eV/atom
Calculated volume ... 19.0 Å³/atom
Space-group type ... No. 123

Lattice parameters (Å, degrees): 4.298 4.298 5.153 90.00 90.00 90.00
Sites, in units of the cell vectors:
Ge (0.000, 0.500, 0.000)
Ge (0.500, 0.000, 0.000)
B (0.000, 0.000, 0.000)
Pd (0.500, 0.500, 0.500)
Pb (0.000, 0.000, 0.500)

14.
GeBPt6Pb2: relaxed, PBE.

Computed properties:
Formation energy from the elements ... -0.2120 eV/atom
Calculated total energy ... -5.7077 eV/atom
Calculated volume ... 18.5 Å³/atom
Space-group type ... No. 2

Lattice parameters (Å, degrees): 5.745 5.745 7.081 68.88 69.00 60.34
Sites, in units of the cell vectors:
Ge (0.000, 0.000, 0.000)
B (0.500, 0.500, 0.500)
Pt (0.191, 0.719, 0.326)
Pt (0.274, 0.273, 0.715)
Pt (0.287, 0.805, 0.676)
Pt (0.713, 0.195, 0.324)
Pt (0.726, 0.727, 0.285)
Pt (0.809, 0.281, 0.674)
Pb (0.269, 0.273, 0.155)
Pb (0.731, 0.727, 0.845)

15.
Ge2BPbS6: relaxed, PBE.

Computed properties:
Calculated total energy ... -4.6388 eV/atom
Calculated volume ... 25.6 Å³/atom
Space-group type ... No. 15
Formation energy without anion corrections ... -0.2003 eV per atom

Lattice parameters (Å, degrees): 8.960 8.960 7.815 115.19 115.19 83.31
Sites, in units of the cell vectors:
Ge (0.109, 0.268, 0.056)
Ge (0.268, 0.109, 0.556)
Ge (0.732, 0.891, 0.444)
Ge (0.891, 0.732, 0.944)
B (0.327, 0.673, 0.250)
B (0.673, 0.327, 0.750)
Pb (0.365, 0.635, 0.750)
Pb (0.635, 0.365, 0.250)
S (0.103, 0.153, 0.272)
S (0.153, 0.103, 0.772)
S (0.155, 0.643, 0.985)
S (0.326, 0.476, 0.301)
S (0.357, 0.845, 0.515)
S (0.476, 0.326, 0.801)
S (0.524, 0.674, 0.199)
S (0.643, 0.155, 0.485)
S (0.674, 0.524, 0.699)
S (0.845, 0.357, 0.015)
S (0.847, 0.897, 0.228)
S (0.897, 0.847, 0.728)

16.
ZnGeB2Pb: relaxed, PBE.

Computed properties:
Formation energy from the elements ... 1.4283 eV/atom
Calculated total energy ... -3.1626 eV/atom
Calculated volume ... 19.6 Å³/atom
Space-group type ... No. 123

Lattice parameters (Å, degrees): 4.073 4.073 5.917 90.00 90.00 90.00
Sites, in units of the cell vectors:
Zn (0.000, 0.000, 0.000)
Ge (0.500, 0.500, 0.500)
B (0.000, 0.500, 0.000)
B (0.500, 0.000, 0.000)
Pb (0.000, 0.000, 0.500)

17.
Zr2GeBPb: relaxed, PBE.

Computed properties:
Formation energy from the elements ... 1.3331 eV/atom
Calculated total energy ... -5.0868 eV/atom
Calculated volume ... 26.9 Å³/atom
Space-group type ... No. 123

Lattice parameters (Å, degrees): 5.070 5.070 5.234 90.00 90.00 90.00
Sites, in units of the cell vectors:
Zr (0.000, 0.500, 0.000)
Zr (0.500, 0.000, 0.000)
Ge (0.000, 0.000, 0.000)
B (0.500, 0.500, 0.500)
Pb (0.000, 0.000, 0.500)

18.
GeBPd2: relaxed, PBE.

Computed properties:
Formation energy from the elements ... 0.1359 eV/atom
Relative energy among the computed polymorphs ... 0.000 eV/atom
Calculated total energy ... -5.2842 eV/atom
Calculated volume ... 17.5 Å³/atom
Space-group type ... No. 122

Lattice parameters (Å, degrees): 6.316 6.316 6.316 131.14 131.14 71.60
Sites, in units of the cell vectors:
Ge (0.000, 0.000, 0.000)
Ge (0.750, 0.250, 0.500)
B (0.250, 0.750, 0.500)
B (0.500, 0.500, 0.000)
Pd (0.199, 0.625, 0.074)
Pd (0.375, 0.449, 0.574)
Pd (0.551, 0.125, 0.926)
Pd (0.875, 0.801, 0.426)

19.
Ge3BPd: relaxed, PBE.

Computed properties:
Formation energy from the elements ... 1.1748 eV/atom
Relative energy among the computed polymorphs ... 0.628 eV/atom
Calculated total energy ... -3.9697 eV/atom
Calculated volume ... 22.4 Å³/atom
Space-group type ... No. 221

Lattice parameters (Å, degrees): 4.820 4.820 4.820 90.00 90.00 90.00
Sites, in units of the cell vectors:
Ge (0.000, 0.000, 0.500)
Ge (0.000, 0.500, 0.000)
Ge (0.500, 0.000, 0.000)
B (0.500, 0.500, 0.500)
Pd (0.000, 0.000, 0.000)

20.
GeB2Pd: relaxed, PBE.

Computed properties:
Formation energy from the elements ... 0.5845 eV/atom
Calculated total energy ... -5.2068 eV/atom
Calculated volume ... 14.2 Å³/atom
Space-group type ... No. 122

Lattice parameters (Å, degrees): 5.989 5.989 5.989 132.72 132.72 69.09
Sites, in units of the cell vectors:
Ge (0.000, 0.000, 0.000)
Ge (0.750, 0.250, 0.500)
B (0.127, 0.625, 0.002)
B (0.375, 0.377, 0.502)
B (0.623, 0.125, 0.998)
B (0.875, 0.873, 0.498)
Pd (0.250, 0.750, 0.500)
Pd (0.500, 0.500, 0.000)

21.
Ge3BPd: relaxed, PBE.

Computed properties:
Formation energy from the elements ... 0.5466 eV/atom
Relative energy among the computed polymorphs ... 0.000 eV/atom
Calculated total energy ... -4.5978 eV/atom
Calculated volume ... 16.3 Å³/atom
Space-group type ... No. 221

Lattice parameters (Å, degrees): 4.338 4.338 4.338 90.00 90.00 90.00
Sites, in units of the cell vectors:
Ge (0.000, 0.000, 0.500)
Ge (0.000, 0.500, 0.000)
Ge (0.500, 0.000, 0.000)
B (0.000, 0.000, 0.000)
Pd (0.500, 0.500, 0.500)

22.
Ge2B4Pd: relaxed, PBE.

Computed properties:
Formation energy from the elements ... 1.2922 eV/atom
Calculated total energy ... -4.5846 eV/atom
Calculated volume ... 15.4 Å³/atom
Space-group type ... No. 139

Lattice parameters (Å, degrees): 7.513 7.513 7.513 149.62 149.62 43.49
Sites, in units of the cell vectors:
Ge (0.199, 0.199, 0.000)
Ge (0.801, 0.801, 0.000)
B (0.000, 0.500, 0.500)
B (0.346, 0.346, 0.000)
B (0.500, 0.000, 0.500)
B (0.654, 0.654, 0.000)
Pd (0.500, 0.500, 0.000)

23.
GeBPd2: relaxed, PBE.

Computed properties:
Formation energy from the elements ... 0.2981 eV/atom
Relative energy among the computed polymorphs ... 0.162 eV/atom
Calculated total energy ... -5.1220 eV/atom
Calculated volume ... 13.3 Å³/atom
Space-group type ... No. 225

Lattice parameters (Å, degrees): 4.225 4.225 4.225 60.00 60.00 60.00
Sites, in units of the cell vectors:
Ge (0.000, 0.000, 0.000)
B (0.500, 0.500, 0.500)
Pd (0.250, 0.250, 0.250)
Pd (0.750, 0.750, 0.750)

24.
GeB3Pd: relaxed, PBE.

Computed properties:
Formation energy from the elements ... 1.4724 eV/atom
Relative energy among the computed polymorphs ... 0.000 eV/atom
Calculated total energy ... -4.4961 eV/atom
Calculated volume ... 14.0 Å³/atom
Space-group type ... No. 221

Lattice parameters (Å, degrees): 4.123 4.123 4.123 90.00 90.00 90.00
Sites, in units of the cell vectors:
Ge (0.000, 0.000, 0.000)
B (0.000, 0.500, 0.500)
B (0.500, 0.000, 0.500)
B (0.500, 0.500, 0.000)
Pd (0.500, 0.500, 0.500)